# TbPrCu2As2P2 (PBE-GGA, optimized geometry)
data_TbPrCu2As2P2
_chemical_formula_sum 'Tb1 Pr1 Cu2 As2 P2'
_cell_length_a 3.8688
_cell_length_b 3.8688
_cell_length_c 9.9789
_cell_angle_alpha 90.00
_cell_angle_beta 90.00
_cell_angle_gamma 90.00
_space_group_name_H-M_alt 'P 4 m m'
_space_group_IT_number 99
loop_
_space_group_symop_operation_xyz
'x,y,z'
'-y,x,z'
'-x,-y,z'
'y,-x,z'
'-x,y,z'
'y,x,z'
'x,-y,z'
'-y,-x,z'
loop_
_atom_site_label
_atom_site_type_symbol
_atom_site_fract_x
_atom_site_fract_y
_atom_site_fract_z
Tb1 Tb 0.0000 0.0000 0.0000
Pr1 Pr 0.5000 0.5000 0.5126
Cu1 Cu 0.0000 0.5000 0.2503
As1 As 0.0000 0.5000 0.7623
P1 P 0.0000 0.0000 0.3956
P2 P 0.5000 0.5000 0.1028
# * E_tot: -5.50 eV per atom


# Pu2Cu2SbAsP2 (PBE-GGA, optimized geometry)
data_Pu2Cu2SbAsP2
_chemical_formula_sum 'Pu2 Cu2 Sb1 As1 P2'
_cell_length_a 3.9318
_cell_length_b 3.9318
_cell_length_c 9.6859
_cell_angle_alpha 90.00
_cell_angle_beta 90.00
_cell_angle_gamma 90.00
_space_group_name_H-M_alt 'P -4 m 2'
_space_group_IT_number 115
loop_
_space_group_symop_operation_xyz
'x,y,z'
'y,-x,-z'
'-x,-y,z'
'-y,x,-z'
'-x,y,z'
'-y,-x,-z'
'x,-y,z'
'y,x,-z'
loop_
_atom_site_label
_atom_site_type_symbol
_atom_site_fract_x
_atom_site_fract_y
_atom_site_fract_z
Pu1 Pu 0.0000 0.5000 0.2463
Cu1 Cu 0.0000 0.0000 0.0000
Cu2 Cu 0.5000 0.5000 0.0000
Sb1 Sb 0.5000 0.5000 0.5000
As1 As 0.0000 0.0000 0.5000
P1 P 0.0000 0.5000 0.8492
# * E_tot: -7.58 eV per atom


# Rb4Cu2AsP (PBE-GGA, optimized geometry)
data_Rb4Cu2AsP
_chemical_formula_sum 'Rb8 Cu4 As2 P2'
_cell_length_a 6.1217
_cell_length_b 10.5017
_cell_length_c 7.5771
_cell_angle_alpha 90.00
_cell_angle_beta 90.00
_cell_angle_gamma 90.00
_space_group_name_H-M_alt 'A m m 2'
_space_group_IT_number 38
loop_
_space_group_symop_operation_xyz
'x,y,z'
'-x,-y,z'
'-x,y,z'
'x,-y,z'
'x,y+1/2,z+1/2'
'-x,-y+1/2,z+1/2'
'-x,y+1/2,z+1/2'
'x,-y+1/2,z+1/2'
loop_
_atom_site_label
_atom_site_type_symbol
_atom_site_fract_x
_atom_site_fract_y
_atom_site_fract_z
Rb1 Rb 0.0000 0.1670 0.0000
Rb2 Rb 0.5000 0.1698 0.2980
Cu1 Cu 0.2595 0.0000 0.6558
As1 As 0.0000 0.0000 0.4243
P1 P 0.5000 0.0000 0.8791
# * E_tot: -2.96 eV per atom


# Ta2Cu2SbAsP2 (PBE-GGA, optimized geometry)
data_Ta2Cu2SbAsP2
_chemical_formula_sum 'Ta2 Cu2 Sb1 As1 P2'
_cell_length_a 3.7804
_cell_length_b 3.7804
_cell_length_c 8.9718
_cell_angle_alpha 90.00
_cell_angle_beta 90.00
_cell_angle_gamma 90.00
_space_group_name_H-M_alt 'P -4 m 2'
_space_group_IT_number 115
loop_
_space_group_symop_operation_xyz
'x,y,z'
'y,-x,-z'
'-x,-y,z'
'-y,x,-z'
'-x,y,z'
'-y,-x,-z'
'x,-y,z'
'y,x,-z'
loop_
_atom_site_label
_atom_site_type_symbol
_atom_site_fract_x
_atom_site_fract_y
_atom_site_fract_z
Ta1 Ta 0.0000 0.5000 0.2354
Cu1 Cu 0.0000 0.0000 0.5000
Cu2 Cu 0.5000 0.5000 0.5000
Sb1 Sb 0.0000 0.0000 0.0000
As1 As 0.5000 0.5000 0.0000
P1 P 0.0000 0.5000 0.6801
# * E_tot: -6.24 eV per atom